# AcAl3Ni2

An optimized crystal structure of AcAl3Ni2 (GGA-PBE, OQMD).

Calculated total energy in Ry/atom: -0.367
Space group: No. 63

a = 6.5188 Å, b = 6.5188 Å, c = 5.1856 Å
α = 90.00°, β = 90.00°, γ = 74.22°
Last column: nearest neighbours and their distance in Å.
Fractional coordinates of all 12 atoms:
Ac (0.8467, 0.1533, 0.2500)  11 Al 3.24-3.61, 2 Ac 3.54, 4 Ni 3.61
Ac (0.1533, 0.8467, 0.7500)  11 Al 3.24-3.61, 2 Ac 3.54, 4 Ni 3.61
Al (0.4344, 0.5656, 0.2500)  4 Ni 2.48, 2 Al 2.66
Al (0.0230, 0.5776, 0.2500)  4 Ni 2.43-2.54, 1 Al 2.66
Al (0.4224, 0.9770, 0.2500)  4 Ni 2.43-2.54, 1 Al 2.66
Al (0.5776, 0.0230, 0.7500)  4 Ni 2.43-2.54, 1 Al 2.66
Al (0.9770, 0.4224, 0.7500)  4 Ni 2.43-2.54, 1 Al 2.66
Al (0.5656, 0.4344, 0.7500)  4 Ni 2.48, 2 Al 2.66
Ni (0.3026, 0.3026, 0.0000)  6 Al 2.43-2.54, 2 Ni 2.59
Ni (0.6974, 0.6974, 0.0000)  6 Al 2.43-2.54, 2 Ni 2.59
Ni (0.3026, 0.3026, 0.5000)  6 Al 2.43-2.54, 2 Ni 2.59
Ni (0.6974, 0.6974, 0.5000)  6 Al 2.43-2.54, 2 Ni 2.59